Record 1
Compound: Pa3Si4Ru2
Source: Alexandria via LeMat-Bulk
Functional: PBE
Structure: relaxed

VASP energy (eV per cell): -75.1
Fermi-level density of states (states/eV/atom): 0.71
Formation energy without anion corrections (eV per atom): -0.7026

abc: 4.1663 5.7211 7.9705
angles: 105.11 90.00 111.35
Closest atoms and distances in Å follow each position.
Sites, in units of the cell vectors:
Pa1 0.6748 0.3496 0.6572  4 Ru 2.89-3.20, 8 Si 3.05-3.13
Pa2 0.0000 0.0000 0.0000  8 Si 2.93-3.11, 4 Ru 3.04
Pa3 0.3252 0.6504 0.3428  4 Ru 2.89-3.20, 8 Si 3.05-3.13
Si1 0.7226 0.4452 0.0553  2 Si 2.40, 1 Ru 2.43
Si2 0.2774 0.5548 0.9447  2 Si 2.40, 1 Ru 2.43
Si3 0.9595 0.9190 0.6207  1 Si 2.32, 2 Ru 2.41
Si4 0.0405 0.0810 0.3793  1 Si 2.32, 2 Ru 2.41
Ru1 0.6093 0.2186 0.2802  3 Si 2.41-2.43
Ru2 0.3907 0.7814 0.7198  3 Si 2.41-2.43

Record 2
Compound: Pa2Si2Ru
Source: Alexandria via LeMat-Bulk
Functional: PBE
Structure: relaxed

VASP energy (eV per cell): -83.1
Fermi-level density of states (states/eV/atom): 0.97
Polymorph energy (0 for the lowest one) (kJ/mol of atoms): 17.7
Formation energy without anion corrections (eV per atom): -0.4829

abc: 4.2151 7.0259 7.5019
angles: 90.00 106.32 90.00
Closest atoms and distances in Å follow each position.
Sites, in units of the cell vectors:
Pa1 0.9756 0.7198 0.9512  6 Si 2.82-3.11, 2 Ru 2.84
Pa2 0.7836 0.3867 0.5672  5 Si 2.80-2.96, 1 Ru 3.12
Pa3 0.2164 0.8867 0.4328  5 Si 2.80-2.96, 1 Ru 3.12
Pa4 0.0244 0.2198 0.0488  6 Si 2.82-3.11, 2 Ru 2.84
Si1 0.4258 0.4402 0.8515  2 Ru 2.51-2.57
Si2 0.8366 0.0026 0.6732  2 Ru 2.43
Si3 0.1634 0.5026 0.3268  2 Ru 2.43
Si4 0.5742 0.9402 0.1485  2 Ru 2.51-2.57
Ru1 0.4101 0.0850 0.8202  4 Si 2.43-2.57
Ru2 0.5899 0.5850 0.1798  4 Si 2.43-2.57

Record 3
Compound: PaSiRu2
Source: Alexandria via LeMat-Bulk
Functional: PBE
Structure: relaxed

VASP energy (eV per cell): -34.6
Fermi-level density of states (states/eV/atom): 0.96
Formation energy without anion corrections (eV per atom): -0.2713

abc: 3.8069 5.7448 4.3680
angles: 131.12 90.12 90.00
Closest atoms and distances in Å follow each position.
Sites, in units of the cell vectors:
Pa1 0.5000 0.5000 0.0000  4 Ru 2.67-2.69, 2 Si 2.87
Si1 0.5000 0.0000 0.0000  4 Ru 2.37
Ru1 0.9982 0.7859 0.5718  2 Si 2.37
Ru2 0.0018 0.2141 0.4282  2 Si 2.37

Record 4
Compound: Pa3Si4Ru2
Source: Alexandria via LeMat-Bulk
Functional: PBE
Structure: relaxed

VASP energy (eV per cell): -75.0
Fermi-level density of states (states/eV/atom): 0.87
Formation energy without anion corrections (eV per atom): -0.7006

abc: 4.1385 5.7205 8.0770
angles: 108.35 90.00 111.21
Closest atoms and distances in Å follow each position.
Sites, in units of the cell vectors:
Pa1 0.6206 0.2413 0.6861  7 Si 2.90-3.08, 3 Ru 2.95-3.04, 1 Pa 3.23
Pa2 0.0000 0.0000 0.0000  8 Si 2.98-3.22
Pa3 0.3794 0.7587 0.3139  7 Si 2.90-3.08, 3 Ru 2.95-3.04, 1 Pa 3.23
Si1 0.7193 0.4386 0.0678  1 Ru 2.42, 2 Si 2.53
Si2 0.2807 0.5614 0.9322  1 Ru 2.42, 2 Si 2.53
Si3 0.9085 0.8171 0.6078  3 Ru 2.41-2.50
Si4 0.0915 0.1829 0.3922  3 Ru 2.41-2.50
Ru1 0.6941 0.3883 0.3540  4 Si 2.41-2.50
Ru2 0.3059 0.6117 0.6460  4 Si 2.41-2.50

Record 5
Compound: Pa2Si2SnRu5
Source: Alexandria via LeMat-Bulk
Functional: PBE
Structure: relaxed

VASP energy (eV per cell): -173.0
Fermi-level density of states (states/eV/atom): 0.61
Formation energy without anion corrections (eV per atom): -0.6281

abc: 3.5072 9.8350 9.8350
angles: 90.00 90.00 90.00
Closest atoms and distances in Å follow each position.
Sites, in units of the cell vectors:
Pa1 0.0000 0.6776 0.1776  3 Si 2.81-2.98, 6 Ru 3.02-3.03
Pa2 0.0000 0.3224 0.8224  3 Si 2.81-2.98, 6 Ru 3.02-3.03
Pa3 0.0000 0.1776 0.3224  3 Si 2.81-2.98, 6 Ru 3.02-3.03
Pa4 0.0000 0.8224 0.6776  3 Si 2.81-2.98, 6 Ru 3.02-3.03
Si1 0.0000 0.1202 0.6202  6 Ru 2.42-2.43
Si2 0.0000 0.8798 0.3798  6 Ru 2.42-2.43
Si3 0.0000 0.6202 0.8798  6 Ru 2.42-2.43
Si4 0.0000 0.3798 0.1202  6 Ru 2.42-2.43
Sn1 0.0000 0.0000 0.0000  8 Ru 2.84
Sn2 0.0000 0.5000 0.5000  8 Ru 2.84
Ru1 0.5000 0.2149 0.0747  2 Si 2.43
Ru2 0.5000 0.7851 0.9253  2 Si 2.43
Ru3 0.5000 0.0747 0.7851  2 Si 2.43
Ru4 0.5000 0.7149 0.4253  2 Si 2.43
Ru5 0.5000 0.9253 0.2149  2 Si 2.43
Ru6 0.5000 0.2851 0.5747  2 Si 2.43
Ru7 0.5000 0.5747 0.7149  2 Si 2.43
Ru8 0.5000 0.4253 0.2851  2 Si 2.43
Ru9 0.5000 0.5000 0.0000  4 Si 2.42
Ru10 0.5000 0.0000 0.5000  4 Si 2.42

Record 6
Compound: Pa2TaSi2Ru5
Source: Alexandria via LeMat-Bulk
Functional: PBE
Structure: relaxed

VASP energy (eV per cell): -187.6
Fermi-level density of states (states/eV/atom): 0.93
Formation energy without anion corrections (eV per atom): -0.5711

abc: 3.4836 9.8150 9.8150
angles: 90.00 90.00 90.00
Closest atoms and distances in Å follow each position.
Sites, in units of the cell vectors:
Pa1 0.0000 0.6755 0.1755  3 Si 2.81-2.97, 6 Ru 2.99-3.06
Pa2 0.0000 0.3245 0.8245  3 Si 2.81-2.97, 6 Ru 2.99-3.06
Pa3 0.0000 0.1755 0.3245  3 Si 2.81-2.97, 6 Ru 2.99-3.06
Pa4 0.0000 0.8245 0.6755  3 Si 2.81-2.97, 6 Ru 2.99-3.06
Ta1 0.0000 0.0000 0.0000  8 Ru 2.80
Ta2 0.0000 0.5000 0.5000  8 Ru 2.80
Si1 0.0000 0.1219 0.6219  6 Ru 2.43-2.44
Si2 0.0000 0.8781 0.3781  6 Ru 2.43-2.44
Si3 0.0000 0.6219 0.8781  6 Ru 2.43-2.44
Si4 0.0000 0.3781 0.1219  6 Ru 2.43-2.44
Ru1 0.5000 0.2114 0.0711  2 Si 2.44
Ru2 0.5000 0.7886 0.9289  2 Si 2.44
Ru3 0.5000 0.0711 0.7886  2 Si 2.44
Ru4 0.5000 0.7114 0.4289  2 Si 2.44
Ru5 0.5000 0.9289 0.2114  2 Si 2.44
Ru6 0.5000 0.2886 0.5711  2 Si 2.44
Ru7 0.5000 0.5711 0.7114  2 Si 2.44
Ru8 0.5000 0.4289 0.2886  2 Si 2.44
Ru9 0.5000 0.5000 0.0000  4 Si 2.43
Ru10 0.5000 0.0000 0.5000  4 Si 2.43